Below is a crystal of Ni5P4O16 relaxed with PBEsol, with properties calculated at the SCAN level.

Values from the calculation:
Volume in Å³/f.u.: 275.9
Energy relative to the elements, uncorrected in eV per atom: -1.92

```
Ni5P4O16
1.0
4.9200 0.0297 -0.0647
-1.3914 7.6319 0.1036
-0.1585 -3.0189 7.3083
P O Ni
4 16 5
Direct
0.8495 0.7905 0.5719 P
0.6200 0.2963 0.0304 P
0.3800 0.7037 0.9696 P
0.1505 0.2095 0.4281 P
0.3528 0.1797 0.5729 O
0.6521 0.4962 0.1820 O
0.0875 0.0251 0.2591 O
0.7760 0.3261 0.8710 O
0.7498 0.1676 0.0995 O
0.3479 0.5038 0.8180 O
0.2648 0.3748 0.3787 O
0.6472 0.8203 0.4271 O
0.9048 0.2426 0.5508 O
0.6976 0.7817 0.0327 O
0.9125 0.9749 0.7409 O
0.7352 0.6252 0.6213 O
0.0952 0.7574 0.4492 O
0.3024 0.2183 0.9673 O
0.2502 0.8324 0.9005 O
0.2240 0.6739 0.1290 O
0.0000 0.0000 0.0000 Ni
0.0992 0.2379 0.7635 Ni
0.6454 0.4071 0.6775 Ni
0.3546 0.5929 0.3225 Ni
0.9008 0.7621 0.2365 Ni
```